Here is an optimized crystal structure of Pm3Pr2Nd7 from Alexandria. Energies are from GGA-PBE.

The energy of formation from the pure elements is 0.08 eV per atom. The calculation puts the electronic total energy at -4.68 eV per atom. The volume comes out at 426.9 Å³ per cell.

The structure belongs to space group P2/m (No. 10); the cell edges are 6.016, 3.662 and 19.408 Å and the angles 90.00°, 93.18° and 90.00°. The asymmetric unit holds Pm at (0.000, 0.000, 0.000), Pm at (0.284, 0.500, 0.632), Pr at (0.206, 0.000, 0.295), Nd at (0.180, 0.500, 0.143), Nd at (0.243, 0.000, 0.464), Nd at (0.318, 0.000, 0.823) and Nd at (0.500, 0.500, 0.000).

***

Here is an optimized crystal structure of PmPr5Nd2 from Alexandria. Energies are from GGA-PBE.

The energy of formation from the pure elements is 0.01 eV per atom. The calculation puts the electronic total energy at -4.76 eV per atom. The volume comes out at 571.9 Å³ per cell.

The structure belongs to space group Pbam (No. 55); the cell edges are 7.387, 14.774 and 5.240 Å and the angles 90.00°, 90.00° and 90.00°. The asymmetric unit holds Pm at (0.000, 0.000, 0.000), Pr at (0.000, 0.249, 0.000), Pr at (0.000, 0.500, 0.000), Pr at (0.250, 0.124, 0.500) and Nd at (0.249, 0.875, 0.500).

***

Here is an optimized crystal structure of PmPr3Nd3 from Alexandria. Energies are from GGA-PBE.

The energy of formation from the pure elements is 0.03 eV per atom. The calculation puts the electronic total energy at -4.74 eV per atom. The volume comes out at 503.4 Å³ per cell.

The structure belongs to space group P6_3/m (No. 176); the cell edges are 9.8672, 9.8672 and 5.9703 Å and the angles 90.00°, 90.00° and 120.00°. The asymmetric unit holds Pm at (0.3333, 0.6667, 0.2500), Pr at (0.0953, 0.6195, 0.7500) and Nd at (0.0474, 0.8096, 0.2500).

***

Here is an optimized crystal structure of Pm2Pr3Nd3 from Alexandria. Energies are from GGA-PBE.

The energy of formation from the pure elements is 0.01 eV per atom. The calculation puts the electronic total energy at -4.76 eV per atom. The volume comes out at 567.3 Å³ per cell.

The structure belongs to space group P2_1/m (No. 11); the cell edges are 6.384, 14.744 and 6.390 Å and the angles 90.00°, 109.40° and 90.00°. The asymmetric unit holds Pm at (0.250, 0.125, 0.250), Pr at (0.249, 0.250, 0.750), Pr at (0.250, 0.000, 0.750), Nd at (0.250, 0.625, 0.250) and Nd at (0.251, 0.750, 0.750).